This record from Alexandria via LeMat-Bulk describes a relaxed structure of MnCd2Co. The functional is PBE-GGA.

The calculation puts the density of states at the Fermi level at 3.01 states/eV/f.u. The value obtained for the total energy is -4.2280 eV/atom. The calculation puts the calculated density at 8.5 g/cm3. The size of the total moment comes out at 5.013 μB per formula unit. As for the distance to the lowest polymorph of the same formula: 0.1486 eV per atom. As for the energy of formation from the pure elements: 0.30 eV/atom.

It has space group P4/mmm (No. 123), with a = 4.012 Å, b = 4.012 Å, c = 4.089 Å, α = 90.00°, β = 90.00° and γ = 90.00°. The inequivalent atoms are Mn at (0.000, 0.000, 0.000), Cd at (0.000, 0.500, 0.500) and Co at (0.500, 0.500, 0.000).